1.
Here is a relaxed structure of AcGdAg from Alexandria via LeMat-Bulk. Energies are from PBE.

Computed properties:
Its spin magnetization is 7.5 μB/f.u. The energy relative to the elements is -0.02 eV/atom. The energy above the most stable polymorph in this dataset comes out at 12.98 kJ/mol of atoms. For the density of states at the Fermi level, the calculation gives 4.1 states/eV per cell.

Lattice parameters (Å, degrees): 4.027 5.241 5.241 120.00 90.00 90.00
Site moments in Bohr magnetons follow the coordinates.
Element x y z (fractional)
Ac: 0.004 0.000 0.000  0.04
Ag: 0.486 0.333 0.667  0.01
Gd: 0.509 0.667 0.333  7.16


2.
Here is a relaxed structure of CsUFe2S4 from Alexandria via LeMat-Bulk. Energies are from PBE.

Computed properties:
Its spin magnetization is 5.0 μB/f.u. For the raw formation energy, the calculation gives -0.583 eV/atom. For the density of states at the Fermi level, the calculation gives 3.8 states/eV per cell.

Lattice parameters (Å, degrees): 5.996 7.055 7.055 74.85 64.85 64.85
Site moments in Bohr magnetons follow the coordinates.
Element x y z (fractional)
Fe: 0.877 0.623 0.623  2.95
Fe: 0.123 0.377 0.377  2.95
Cs: 0.000 0.000 0.000  0.00
U: 0.500 0.500 0.500  -1.61
S: 0.564 0.497 0.838  0.08
S: 0.436 0.162 0.503  0.08
S: 0.899 0.503 0.162  0.08
S: 0.101 0.838 0.497  0.08


3.
Here is a relaxed structure of PaMoW2 from Alexandria via LeMat-Bulk. Energies are from PBE.

Computed properties:
Its spin magnetization is 0.0 μB/f.u. The energy relative to the elements is 0.23 eV/atom. The energy above the most stable polymorph in this dataset comes out at 0.00 kJ/mol of atoms. For the density of states at the Fermi level, the calculation gives 0.3 states/eV per cell.

Lattice parameters (Å, degrees): 4.673 4.673 4.673 60.00 60.00 60.00
Element x y z (fractional)
Mo: 0.000 0.000 0.000
W: 0.250 0.250 0.250
W: 0.750 0.750 0.750
Pa: 0.500 0.500 0.500


4.
Here is a relaxed structure of AlRhN2F from Alexandria via LeMat-Bulk. Energies are from PBE.

Computed properties:
Its spin magnetization is 0.2 μB/f.u. The energy above the most stable polymorph in this dataset comes out at 51.79 kJ/mol of atoms. For the raw formation energy, the calculation gives 0.567 eV/atom. For the density of states at the Fermi level, the calculation gives 3.3 states/eV per cell.

Lattice parameters (Å, degrees): 3.874 3.874 4.262 90.00 90.00 90.00
Site moments in Bohr magnetons follow the coordinates.
Element x y z (fractional)
N: 0.500 0.000 0.000  0.07
N: 0.000 0.500 0.000  0.07
Rh: 0.000 0.000 0.000  -0.01
Al: 0.500 0.500 0.500  0.00
F: 0.000 0.000 0.500  0.00


5.
Here is a relaxed structure of BaLaInS4 from Alexandria via LeMat-Bulk. Energies are from PBE.

Computed properties:
Its spin magnetization is 0.0 μB/f.u. For the raw formation energy, the calculation gives -1.559 eV/atom. For the density of states at the Fermi level, the calculation gives 0.0 states/eV per cell.

Lattice parameters (Å, degrees): 6.993 6.954 8.627 90.00 107.23 90.00
Element x y z (fractional)
S: 0.466 0.750 0.599
S: 0.992 0.011 0.273
S: 0.008 0.989 0.727
S: 0.552 0.250 0.862
S: 0.008 0.511 0.727
S: 0.448 0.750 0.138
S: 0.992 0.489 0.273
S: 0.534 0.250 0.401
Ba: 0.750 0.750 0.941
Ba: 0.250 0.250 0.059
La: 0.781 0.750 0.445
La: 0.219 0.250 0.555
In: 0.243 0.750 0.323
In: 0.757 0.250 0.677


6.
Here is a relaxed structure of Rb3TmTh3S8 from Alexandria via LeMat-Bulk. Energies are from PBE.

Computed properties:
Its spin magnetization is 0.0 μB/f.u. For the raw formation energy, the calculation gives -1.767 eV/atom. For the density of states at the Fermi level, the calculation gives 9.7 states/eV per cell.

Lattice parameters (Å, degrees): 8.190 8.189 9.207 116.41 90.00 120.00
Element x y z (fractional)
Tm: 0.000 0.000 0.500
Rb: 0.000 0.000 0.000
Rb: 0.000 0.500 0.000
Rb: 0.500 0.500 0.000
S: 0.265 0.530 0.295
S: 0.775 0.550 0.310
S: 0.225 0.965 0.690
S: 0.739 0.965 0.690
S: 0.775 0.035 0.310
S: 0.225 0.450 0.690
S: 0.261 0.035 0.310
S: 0.735 0.470 0.705
Th: 0.500 0.000 0.500
Th: 0.500 0.500 0.500
Th: 0.000 0.500 0.500


Copy entry 5 word for word.
Here is a relaxed structure of BaLaInS4 from Alexandria via LeMat-Bulk. Energies are from PBE.

Computed properties:
Its spin magnetization is 0.0 μB/f.u. For the raw formation energy, the calculation gives -1.559 eV/atom. For the density of states at the Fermi level, the calculation gives 0.0 states/eV per cell.

Lattice parameters (Å, degrees): 6.993 6.954 8.627 90.00 107.23 90.00
Element x y z (fractional)
S: 0.466 0.750 0.599
S: 0.992 0.011 0.273
S: 0.008 0.989 0.727
S: 0.552 0.250 0.862
S: 0.008 0.511 0.727
S: 0.448 0.750 0.138
S: 0.992 0.489 0.273
S: 0.534 0.250 0.401
Ba: 0.750 0.750 0.941
Ba: 0.250 0.250 0.059
La: 0.781 0.750 0.445
La: 0.219 0.250 0.555
In: 0.243 0.750 0.323
In: 0.757 0.250 0.677